Run one
Density functional theory data (PBE) for Tb5Hg2Ru after structural relaxation.

CIF file:
```
data_Tb5Hg2Ru
_symmetry_space_group_name_H-M 'P b a m'
_symmetry_Int_Tables_number 55
_symmetry_space_group_name_Hall '-P 2 2ab'
_cell_length_a 7.410
_cell_length_b 11.963
_cell_length_c 4.839
_cell_angle_alpha 90.00
_cell_angle_beta 90.00
_cell_angle_gamma 90.00
loop_
_atom_site_label
_atom_site_fract_x
_atom_site_fract_y
_atom_site_fract_z
Tb1 0.000 0.000 0.000
Tb2 0.144 0.296 0.000
Tb3 0.178 0.580 0.500
Hg1 0.077 0.837 0.500
Ru1 0.000 0.500 0.000
```



Run two
Density functional theory data (PBE) for Tb5Hg2Ru after structural relaxation.

CIF file:
```
data_Tb5Hg2Ru
_symmetry_space_group_name_H-M 'C m c m'
_symmetry_Int_Tables_number 63
_symmetry_space_group_name_Hall '-C 2c 2'
_cell_length_a 5.669
_cell_length_b 12.226
_cell_length_c 12.724
_cell_angle_alpha 90.00
_cell_angle_beta 90.00
_cell_angle_gamma 90.00
loop_
_atom_site_label
_atom_site_fract_x
_atom_site_fract_y
_atom_site_fract_z
Tb1 0.000 0.076 0.106
Tb2 0.000 0.366 0.062
Tb3 0.000 0.403 0.750
Hg1 0.000 0.185 0.631
Ru1 0.000 0.235 0.250
```



run one is favored, and the nearest alternative lies 23.6 kJ/mol of atoms above it.